This record from the Alexandria database describes a geometry-optimized LaV2Rh structure. The functional is GGA-PBE.

## Properties
- spin magnetization (μB per formula unit) = 0.00
- space-group type = I-42d
- E_form (eV per atom) = 0.391

Lattice parameters (Å, degrees): 3.9858 3.9858 10.6733 79.24 79.24 90.00
Last column: nearest neighbours and their distance in Å.
Fractional coordinates of all 8 atoms:
V (0.8750, 0.5193, 0.7500)  2 V 2.16
Rh (0.2500, 0.7500, 0.5000)  4 V 2.79, 4 La 2.82
Rh (0.5000, 0.5000, 0.0000)  4 V 2.79, 4 La 2.82
V (0.4807, 0.6250, 0.2500)  2 V 2.16
La (0.7500, 0.2500, 0.5000)  4 Rh 2.82
V (0.2693, 0.1250, 0.2500)  2 V 2.16
La (0.0000, 0.0000, 0.0000)  4 Rh 2.82
V (0.3750, 0.7307, 0.7500)  2 V 2.16